# Th2ZnIn | Alexandria | GGA-PBE | optimized geometry
# Magnetic moment: 0.00 μB/atom
# Total energy: -0.359 Ry per atom
data_Th2ZnIn
_cell_length_a 5.5349
_cell_length_b 3.6007
_cell_length_c 10.8755
_cell_angle_alpha 90.00
_cell_angle_beta 90.00
_cell_angle_gamma 90.00
_symmetry_space_group_name_H-M 'P m m a'
_symmetry_Int_Tables_number 51
loop_
_symmetry_equiv_pos_as_xyz
'x,y,z'
'-x,-y,-z'
'-x+1/2,-y,z'
'x+1/2,y,-z'
'x+1/2,-y,-z'
'-x+1/2,y,z'
'-x,y,-z'
'x,-y,z'
loop_
_atom_site_label
_atom_site_type_symbol
_atom_site_fract_x
_atom_site_fract_y
_atom_site_fract_z
Th1 Th 0.2500 0.0000 0.1150
Th2 Th 0.2500 0.0000 0.6429
Zn1 Zn 0.2500 0.5000 0.8814
In1 In 0.2500 0.5000 0.3779

=====

# BaCd10Sn | Alexandria | GGA-PBE | optimized geometry
# Magnetic moment: 0.00 μB/atom
# Total energy: -0.097 Ry per atom
data_BaCd10Sn
_cell_length_a 4.9630
_cell_length_b 6.0982
_cell_length_c 10.4260
_cell_angle_alpha 90.00
_cell_angle_beta 90.00
_cell_angle_gamma 90.00
_symmetry_space_group_name_H-M 'P m m m'
_symmetry_Int_Tables_number 47
loop_
_symmetry_equiv_pos_as_xyz
'x,y,z'
'-x,-y,-z'
'-x,-y,z'
'x,y,-z'
'x,-y,-z'
'-x,y,z'
'-x,y,-z'
'x,-y,z'
loop_
_atom_site_label
_atom_site_type_symbol
_atom_site_fract_x
_atom_site_fract_y
_atom_site_fract_z
Ba1 Ba 0.0000 0.0000 0.0000
Cd1 Cd 0.0000 0.0000 0.3488
Cd2 Cd 0.0000 0.5000 0.1955
Cd3 Cd 0.5000 0.0000 0.5000
Cd4 Cd 0.5000 0.2419 0.2419
Cd5 Cd 0.5000 0.5000 0.0000
Sn1 Sn 0.0000 0.5000 0.5000

=====

# CaCd10Hg2 | Alexandria | GGA-PBE | optimized geometry
# Magnetic moment: 0.00 μB/atom
# Total energy: -0.071 Ry per atom
data_CaCd10Hg2
_cell_length_a 6.0945
_cell_length_b 7.7033
_cell_length_c 7.7405
_cell_angle_alpha 81.65
_cell_angle_beta 67.12
_cell_angle_gamma 67.39
_symmetry_space_group_name_H-M 'P -1'
_symmetry_Int_Tables_number 2
loop_
_symmetry_equiv_pos_as_xyz
'x,y,z'
'-x,-y,-z'
loop_
_atom_site_label
_atom_site_type_symbol
_atom_site_fract_x
_atom_site_fract_y
_atom_site_fract_z
Ca1 Ca 0.0000 0.0000 0.0000
Cd1 Cd 0.0000 0.0000 0.5000
Cd2 Cd 0.0022 0.3518 0.6451
Cd3 Cd 0.2848 0.2120 0.2130
Cd4 Cd 0.3539 0.6489 0.6457
Cd5 Cd 0.5000 0.0000 0.5000
Cd6 Cd 0.4999 0.2118 0.7873
Hg1 Hg 0.0000 0.5000 0.0000
Hg2 Hg 0.5000 0.5000 0.0000

=====

# Sc2GeH2 | Alexandria | GGA-PBE | optimized geometry
# Magnetic moment: 0.00 μB/atom
# Total energy: -0.405 Ry per atom
data_Sc2GeH2
_cell_length_a 3.4301
_cell_length_b 3.4301
_cell_length_c 10.9436
_cell_angle_alpha 90.00
_cell_angle_beta 90.00
_cell_angle_gamma 90.00
_symmetry_space_group_name_H-M 'I 4/m m m'
_symmetry_Int_Tables_number 139
_symmetry_space_group_name_Hall '-I 4 2'
loop_
_atom_site_label
_atom_site_type_symbol
_atom_site_fract_x
_atom_site_fract_y
_atom_site_fract_z
Sc1 Sc 0.0000 0.0000 0.1446
Ge1 Ge 0.0000 0.0000 0.5000
H1 H 0.0000 0.5000 0.2500

=====

# HoPaRu | Alexandria | GGA-PBE | optimized geometry
# Magnetic moment: 0.00 μB/atom
# Offset from the most stable computed form: 216.6 meV/atom
data_HoPaRu
_cell_length_a 3.9590
_cell_length_b 3.9590
_cell_length_c 9.6953
_cell_angle_alpha 90.00
_cell_angle_beta 90.00
_cell_angle_gamma 90.00
_symmetry_space_group_name_H-M 'P 4/n m m'
_symmetry_Int_Tables_number 129
loop_
_symmetry_equiv_pos_as_xyz
'x,y,z'
'-x,-y,-z'
'-y+1/2,x,z'
'y+1/2,-x,-z'
'-x+1/2,-y+1/2,z'
'x+1/2,y+1/2,-z'
'y,-x+1/2,z'
'-y,x+1/2,-z'
'x+1/2,-y,-z'
'-x+1/2,y,z'
'-y,-x,-z'
'y,x,z'
'-x,y+1/2,-z'
'x,-y+1/2,z'
'y+1/2,x+1/2,-z'
'-y+1/2,-x+1/2,z'
loop_
_atom_site_label
_atom_site_type_symbol
_atom_site_fract_x
_atom_site_fract_y
_atom_site_fract_z
Ho1 Ho 0.2500 0.2500 0.1509
Pa1 Pa 0.2500 0.2500 0.5985
Ru1 Ru 0.2500 0.2500 0.8392

=====

# In6Sb7 | Alexandria | GGA-PBE | optimized geometry
# Magnetic moment: 0.00 μB/atom
# Total energy: -0.248 Ry per atom
data_In6Sb7
_cell_length_a 6.3645
_cell_length_b 6.3645
_cell_length_c 32.8228
_cell_angle_alpha 90.00
_cell_angle_beta 90.00
_cell_angle_gamma 120.00
_symmetry_space_group_name_H-M 'R -3 m'
_symmetry_Int_Tables_number 166
_symmetry_space_group_name_Hall '-R 3 2"'
loop_
_atom_site_label
_atom_site_type_symbol
_atom_site_fract_x
_atom_site_fract_y
_atom_site_fract_z
In1 In 0.0000 0.0000 0.0483
In2 In 0.0000 0.0000 0.1538
In3 In 0.0000 0.0000 0.3337
Sb1 Sb 0.0000 0.0000 0.5000
Sb2 Sb 0.0003 0.5001 0.0862

=====

# MgBeCu4 | Alexandria | GGA-PBE | optimized geometry
# Magnetic moment: 0.00 μB/atom
# Total energy: -0.258 Ry per atom
data_MgBeCu4
_cell_length_a 6.8367
_cell_length_b 6.8367
_cell_length_c 6.8367
_cell_angle_alpha 90.00
_cell_angle_beta 90.00
_cell_angle_gamma 90.00
_symmetry_space_group_name_H-M 'F -4 3 m'
_symmetry_Int_Tables_number 216
_symmetry_space_group_name_Hall 'F -4 2 3'
loop_
_atom_site_label
_atom_site_type_symbol
_atom_site_fract_x
_atom_site_fract_y
_atom_site_fract_z
Mg1 Mg 0.0000 0.0000 0.0000
Be1 Be 0.2500 0.2500 0.7500
Cu1 Cu 0.1246 0.1246 0.3754

=====

# KRb3Mg | Alexandria | GGA-PBE | optimized geometry
# Magnetic moment: 0.00 μB/atom
# Offset from the most stable computed form: 0.0 meV/atom
data_KRb3Mg
_cell_length_a 7.4385
_cell_length_b 7.4385
_cell_length_c 7.4385
_cell_angle_alpha 90.00
_cell_angle_beta 90.00
_cell_angle_gamma 90.00
_symmetry_space_group_name_H-M 'P m -3 m'
_symmetry_Int_Tables_number 221
_symmetry_space_group_name_Hall '-P 4 2 3'
loop_
_atom_site_label
_atom_site_type_symbol
_atom_site_fract_x
_atom_site_fract_y
_atom_site_fract_z
K1 K 0.0000 0.0000 0.0000
Rb1 Rb 0.0000 0.5000 0.5000
Mg1 Mg 0.5000 0.5000 0.5000

=====

# TaGaRu2 | Alexandria | GGA-PBE | optimized geometry
# Magnetic moment: 0.00 μB/atom
# Total energy: -0.650 Ry per atom
data_TaGaRu2
_cell_length_a 4.3328
_cell_length_b 4.3328
_cell_length_c 3.1791
_cell_angle_alpha 90.00
_cell_angle_beta 90.00
_cell_angle_gamma 90.00
_symmetry_space_group_name_H-M 'P 4/m m m'
_symmetry_Int_Tables_number 123
_symmetry_space_group_name_Hall '-P 4 2'
loop_
_atom_site_label
_atom_site_type_symbol
_atom_site_fract_x
_atom_site_fract_y
_atom_site_fract_z
Ta1 Ta 0.0000 0.0000 0.0000
Ga1 Ga 0.5000 0.5000 0.0000
Ru1 Ru 0.0000 0.5000 0.5000

=====

# K2CdSnPb6 | Alexandria | GGA-PBE | optimized geometry
# Magnetic moment: 0.00 μB/atom
# Total energy: -0.210 Ry per atom
data_K2CdSnPb6
_cell_length_a 7.4173
_cell_length_b 7.4173
_cell_length_c 48.6319
_cell_angle_alpha 90.00
_cell_angle_beta 90.00
_cell_angle_gamma 120.00
_symmetry_space_group_name_H-M 'R -3 m'
_symmetry_Int_Tables_number 166
_symmetry_space_group_name_Hall '-R 3 2"'
loop_
_atom_site_label
_atom_site_type_symbol
_atom_site_fract_x
_atom_site_fract_y
_atom_site_fract_z
K1 K 0.0000 0.0000 0.1214
K2 K 0.0000 0.0000 0.3114
Cd1 Cd 0.0000 0.0000 0.0000
Cd2 Cd 0.0000 0.0000 0.5000
Sn1 Sn 0.0000 0.0000 0.4255
Pb1 Pb 0.0343 0.5171 0.7168
Pb2 Pb 0.0466 0.5233 0.8674

=====

# CsAg2HgCl4 | Alexandria | GGA-PBE | optimized geometry
# Magnetic moment: 0.00 μB/atom
# Total energy: -0.184 Ry per atom
data_CsAg2HgCl4
_cell_length_a 9.2802
_cell_length_b 9.2974
_cell_length_c 13.0401
_cell_angle_alpha 90.00
_cell_angle_beta 90.00
_cell_angle_gamma 90.00
_symmetry_space_group_name_H-M 'F m m 2'
_symmetry_Int_Tables_number 42
_symmetry_space_group_name_Hall 'F 2 -2'
loop_
_atom_site_label
_atom_site_type_symbol
_atom_site_fract_x
_atom_site_fract_y
_atom_site_fract_z
Cs1 Cs 0.0000 0.0000 0.0000
Ag1 Ag 0.2500 0.2500 0.2493
Hg1 Hg 0.0000 0.0000 0.4989
Cl1 Cl 0.0000 0.2140 0.6590
Cl2 Cl 0.2148 0.0000 0.3392

=====

# Tb2PuSe4 | Alexandria | GGA-PBE | optimized geometry
# Magnetic moment: 0.86 μB/atom
# Total energy: -0.522 Ry per atom
data_Tb2PuSe4
_cell_length_a 8.7810
_cell_length_b 8.7810
_cell_length_c 8.6749
_cell_angle_alpha 90.00
_cell_angle_beta 90.00
_cell_angle_gamma 90.00
_symmetry_space_group_name_H-M 'I -4 2 d'
_symmetry_Int_Tables_number 122
_symmetry_space_group_name_Hall 'I -4 2bw'
loop_
_atom_site_label
_atom_site_type_symbol
_atom_site_fract_x
_atom_site_fract_y
_atom_site_fract_z
Tb1 Tb 0.1285 0.7500 0.1250
Pu1 Pu 0.0000 0.0000 0.5000
Se1 Se 0.0745 0.6748 0.4459